The following is a PBE-GGA calculation of a geometry-optimized Ba2Zn2Ge structure, from Alexandria.

Lattice parameters (Å, degrees): 6.513 6.513 5.978 56.99 56.99 90.00
Element x y z (fractional)
1 Ge 0.000 0.000 0.000
2 Zn 0.341 0.341 0.318
3 Zn 0.659 0.659 0.682
4 Ba 0.750 0.250 0.500
5 Ba 0.250 0.750 0.500

energy above the most stable polymorph in this dataset	0.236	eV per atom
energy	-2.3041	eV/atom
energy of formation	-0.102	eV per atom
symmetry	I4/mmm, No. 139